# K2CoBiO4

A relaxed K2CoBiO4 crystal (GGA+U, Alexandria via LeMat-Bulk).

Summary:
E_tot: -4.85 eV per atom
Space group: Fddd, No. 70

Geometry as POSCAR:
```
K2CoBiO4
1.0
0.0000 6.3986 10.7044
2.9653 0.0000 10.7044
2.9653 6.3986 0.0000
K Co Bi O
4 2 2 8
Cartesian
2.2240 4.7990 1.5157 K
3.7067 7.9983 6.8679 K
2.2240 4.7990 14.5408 K
3.7067 7.9983 19.8930 K
2.2240 4.7990 8.0283 Co
3.7067 7.9983 13.3805 Co
0.7413 1.5997 2.6761 Bi
5.1894 11.1976 18.7327 Bi
3.4972 3.5626 7.3017 O
3.4972 6.0353 8.7549 O
4.9799 6.7619 14.1071 O
4.9799 9.2346 12.6539 O
0.9508 3.5626 8.7549 O
0.9508 6.0353 7.3017 O
2.4335 6.7619 12.6539 O
2.4335 9.2346 14.1071 O
```